(1)
BeZnInCo: relaxed, GGA-PBE.

Lattice parameters (Å, degrees): 4.243 4.243 4.243 60.00 60.00 60.00
Element x y z (fractional)
Be 0.000 0.000 0.000
Zn 0.250 0.250 0.250
In 0.750 0.750 0.750
Co 0.500 0.500 0.500

As for the symmetry: F-43m, No. 216. Its calculated volume is 13.50 Å³/atom. As for the crystal system: cubic. As for the total magnetization: 0.000 μB/atom. The distance to the lowest polymorph of the same formula is 0.000 eV/atom.

***

(2)
ZrBeInCo: relaxed, GGA-PBE.

Lattice parameters (Å, degrees): 4.447 4.447 4.447 60.00 60.00 60.00
Element x y z (fractional)
Zr 0.000 0.000 0.000
Be 0.500 0.500 0.500
In 0.750 0.750 0.750
Co 0.250 0.250 0.250

As for the symmetry: F-43m, No. 216. Its calculated volume is 15.54 Å³/atom. As for the crystal system: cubic. As for the total magnetization: 0.008 μB/atom. The distance to the lowest polymorph of the same formula is 0.292 eV/atom.

***

(3)
ZrBeInCo: relaxed, GGA-PBE.

Lattice parameters (Å, degrees): 4.470 4.470 4.470 60.00 60.00 60.00
Element x y z (fractional)
Zr 0.000 0.000 0.000
Be 0.750 0.750 0.750
In 0.250 0.250 0.250
Co 0.500 0.500 0.500

As for the symmetry: F-43m, No. 216. Its calculated volume is 15.79 Å³/atom. As for the crystal system: cubic. As for the total magnetization: 0.052 μB/atom. The distance to the lowest polymorph of the same formula is 0.314 eV/atom.

***

(4)
ZrBeInCo: relaxed, GGA-PBE.

Lattice parameters (Å, degrees): 4.407 4.407 4.407 60.00 60.00 60.00
Element x y z (fractional)
Zr 0.000 0.000 0.000
Be 0.250 0.250 0.250
In 0.500 0.500 0.500
Co 0.750 0.750 0.750

As for the symmetry: F-43m, No. 216. Its calculated volume is 15.13 Å³/atom. As for the crystal system: cubic. As for the total magnetization: 0.000 μB/atom. The distance to the lowest polymorph of the same formula is 0.000 eV/atom.

***

(5)
BeCo2Ir: relaxed, GGA-PBE.

Lattice parameters (Å, degrees): 3.974 3.974 3.974 60.00 60.00 60.00
Element x y z (fractional)
Be 0.000 0.000 0.000
Co 0.500 0.500 0.500
Co 0.750 0.750 0.750
Ir 0.250 0.250 0.250

As for the symmetry: F-43m, No. 216. Its calculated volume is 11.10 Å³/atom. As for the crystal system: cubic. As for the total magnetization: 0.949 μB/atom. The value obtained for the total DFT energy (no corrections) is -6.8036 eV per atom.

***

(6)
Be2CoIr: relaxed, GGA-PBE.

Lattice parameters (Å, degrees): 3.826 3.826 3.826 60.00 60.00 60.00
Element x y z (fractional)
Be 0.250 0.250 0.250
Be 0.750 0.750 0.750
Co 0.000 0.000 0.000
Ir 0.500 0.500 0.500

As for the symmetry: Fm-3m, No. 225. Its calculated volume is 9.90 Å³/atom. As for the crystal system: cubic. As for the total magnetization: 0.143 μB/atom. The distance to the lowest polymorph of the same formula is 0.000 eV/atom.

***

(7)
BeCoIr2: relaxed, GGA-PBE.

Lattice parameters (Å, degrees): 4.140 4.140 4.140 60.00 60.00 60.00
Element x y z (fractional)
Be 0.000 0.000 0.000
Co 0.250 0.250 0.250
Ir 0.500 0.500 0.500
Ir 0.750 0.750 0.750

As for the symmetry: F-43m, No. 216. Its calculated volume is 12.55 Å³/atom. As for the crystal system: cubic. As for the total magnetization: 0.500 μB/atom. The value obtained for the total DFT energy (no corrections) is -6.9928 eV per atom.

***

(8)
Be2CoIr: relaxed, GGA-PBE.

Lattice parameters (Å, degrees): 3.919 3.919 3.919 60.00 60.00 60.00
Element x y z (fractional)
Be 0.000 0.000 0.000
Be 0.250 0.250 0.250
Co 0.500 0.500 0.500
Ir 0.750 0.750 0.750

As for the symmetry: F-43m, No. 216. Its calculated volume is 10.64 Å³/atom. As for the crystal system: cubic. As for the total magnetization: 0.415 μB/atom. The distance to the lowest polymorph of the same formula is 0.312 eV/atom.

***

(9)
Be2CoIr: relaxed, GGA-PBE.

Lattice parameters (Å, degrees): 3.797 3.797 2.771 90.00 90.00 90.00
Element x y z (fractional)
Be 0.000 0.500 0.000
Be 0.500 0.000 0.000
Co 0.000 0.000 0.500
Ir 0.500 0.500 0.500

As for the symmetry: P4/mmm, No. 123. Its calculated volume is 9.99 Å³/atom. As for the crystal system: tetragonal. As for the total magnetization: 0.188 μB/atom. The distance to the lowest polymorph of the same formula is 0.027 eV/atom.

***

(10)
Be2CoIr: relaxed, GGA-PBE.

Lattice parameters (Å, degrees): 5.540 5.372 5.371 90.00 90.00 90.00
Element x y z (fractional)
Be 0.249 0.001 0.001
Be 0.249 0.499 0.001
Be 0.251 0.501 0.501
Be 0.251 0.999 0.501
Be 0.749 0.001 0.499
Be 0.749 0.499 0.499
Be 0.751 0.501 0.999
Be 0.751 0.999 0.999
Co 0.000 0.250 0.250
Co 0.000 0.750 0.750
Co 0.500 0.250 0.250
Co 0.500 0.750 0.750
Ir 0.000 0.250 0.749
Ir 0.000 0.750 0.251
Ir 0.500 0.250 0.751
Ir 0.500 0.750 0.249

As for the symmetry: Pnma, No. 62. Its calculated volume is 9.99 Å³/atom. As for the crystal system: orthorhombic. As for the total magnetization: 0.180 μB/atom. The distance to the lowest polymorph of the same formula is 0.026 eV/atom.

***

(11)
Be2CoIr: relaxed, GGA-PBE.

Lattice parameters (Å, degrees): 3.828 3.828 3.828 60.00 60.00 60.00
Element x y z (fractional)
Be 0.250 0.250 0.250
Be 0.750 0.750 0.750
Co 0.000 0.000 0.000
Ir 0.500 0.500 0.500

As for the symmetry: Fm-3m, No. 225. Its calculated volume is 9.92 Å³/atom. As for the crystal system: cubic. As for the total magnetization: 0.153 μB/atom. The distance to the lowest polymorph of the same formula is 0.000 eV/atom.

***

(12)
Be2Co2Si2NiIr: relaxed, GGA-PBE.

Lattice parameters (Å, degrees): 3.900 3.900 5.449 90.00 90.00 90.00
Element x y z (fractional)
Be 0.000 0.500 0.238
Be 0.500 0.000 0.762
Co 0.000 0.000 0.500
Co 0.500 0.500 0.000
Si 0.000 0.500 0.762
Si 0.500 0.000 0.238
Ni 0.000 0.000 0.000
Ir 0.500 0.500 0.500

As for the symmetry: P-4m2, No. 115. Its calculated volume is 10.36 Å³/atom. As for the crystal system: tetragonal. As for the total magnetization: 0.004 μB/atom. The value obtained for the total DFT energy (no corrections) is -6.4478 eV per atom.